VASP calculation (PBE) on crystalline Sm3Ge2Cl2 at its relaxed geometry. Values from VASP.

Summary:
As for the magnetic moment: 0.00 μB/cell. The calculation puts the formation energy (no corrections) at -1.18 eV per atom. Its density of states at the Fermi level is 4.377 states/eV/f.u. The total energy is -5.0497 eV/atom. The calculation puts the volume at 30.1 A^3/atom.

Quantum ESPRESSO input file:
```
&SYSTEM
  ibrav = 0, nat = 7, ntyp = 3
/
ATOMIC_SPECIES
Sm 150.36 Sm.upf
Ge 72.64 Ge.upf
Cl 35.45 Cl.upf
CELL_PARAMETERS angstrom
4.127 0.000 0.000
2.049 7.001 0.000
0.006 2.147 7.302
ATOMIC_POSITIONS angstrom
Sm 0.000 0.000 0.000
Sm 2.058 5.356 5.563
Sm 4.125 3.792 1.739
Ge 2.063 1.888 0.890
Ge 4.119 7.259 6.412
Cl 2.058 5.658 2.625
Cl 4.124 3.489 4.677
```

=====

VASP calculation (PBE) on crystalline LiTl2RuCl6 at its relaxed geometry. Values from VASP.

Summary:
As for the magnetic moment: 2.02 μB/cell. The calculation puts the formation energy (no corrections) at -0.96 eV per atom. Its density of states at the Fermi level is 7.882 states/eV/f.u. The total energy is -3.6646 eV/atom. The calculation puts the volume at 25.3 A^3/atom.

Quantum ESPRESSO input file:
```
&SYSTEM
  ibrav = 0, nat = 20, ntyp = 4
/
ATOMIC_SPECIES
Li 6.94 Li.upf
Tl 204.38 Tl.upf
Ru 101.07 Ru.upf
Cl 35.45 Cl.upf
CELL_PARAMETERS angstrom
3.510 2.027 11.835
-3.510 2.027 11.835
0.000 -4.053 11.835
ATOMIC_POSITIONS angstrom
Li 0.000 0.000 2.963
Li 0.000 0.000 32.541
Tl 0.000 0.000 7.103
Tl 0.000 0.000 13.256
Tl 0.000 0.000 22.248
Tl 0.000 0.000 28.401
Ru 0.000 0.000 0.000
Ru 0.000 0.000 17.752
Cl 0.000 -2.122 10.445
Cl -1.838 1.061 10.445
Cl -1.684 -0.972 19.125
Cl 0.000 -1.944 16.378
Cl -1.684 0.972 16.378
Cl -1.838 -1.061 25.058
Cl 1.838 1.061 10.445
Cl 1.684 -0.972 19.125
Cl 0.000 1.944 19.125
Cl 1.684 0.972 16.378
Cl 1.838 -1.061 25.058
Cl 0.000 2.122 25.058
```